5
Lattice="4.1584 0.0000 0.0000 0.0000 4.1584 0.0000 0.0000 0.0000 3.8490" Properties=species:S:1:pos:R:3 comment="PBE MnTlHRh2, optimized geometry" space_group="No. 123" e_tot_ev_per_atom=-5.963 pbc="T T T"
Mn 0.0000 0.0000 0.0000
Tl 2.0792 2.0792 0.0000
H 0.0000 0.0000 1.9245
Rh 0.0000 2.0792 1.9245
Rh 2.0792 0.0000 1.9245